No. 1
{"formula": "ReTcAg2", "functional": "GGA-PBE", "state": "relaxed", "dos_at_fermi_per_ev_atom": 0.7697, "e_above_lowest_polymorph_mev_per_atom": 149, "mass_density_g_cm3": 12.66, "energy_ev_per_fu": -27.09, "magnetic_moment_mub_per_fu": 0.000, "ef_mev_per_atom": 356, "sg": "Cmm2 (35)", "cell": [[1.4572, -2.3146, 0.0000], [1.4572, 2.3146, 0.0000], [0.0000, 0.0000, 9.7242]], "species": ["Re", "Tc", "Ag", "Ag"], "fractional_positions": [[0.0000, 0.0000, 0.0000], [0.5000, 0.5000, 0.2191], [0.0000, 0.0000, 0.4792], [0.5000, 0.5000, 0.7384]]}

---

No. 2
{"formula": "ReTc2Ag", "functional": "GGA-PBE", "state": "relaxed", "dos_at_fermi_per_ev_atom": 0.8153, "e_above_lowest_polymorph_mev_per_atom": 184, "mass_density_g_cm3": 13.18, "energy_ev_per_fu": -34.37, "magnetic_moment_mub_per_fu": 0.000, "ef_mev_per_atom": 414, "sg": "C2/m (12)", "cell": [[4.6533, -1.3903, 0.0000], [4.6533, 1.3903, 0.0000], [-0.9153, 0.0000, 4.7714]], "species": ["Re", "Tc", "Tc", "Ag"], "fractional_positions": [[0.0000, 0.0000, 0.0000], [0.2607, 0.2607, 0.7776], [0.7393, 0.7393, 0.2224], [0.5000, 0.5000, 0.5000]]}

---

No. 3
{"formula": "Re4TcAg", "functional": "GGA-PBE", "state": "relaxed", "dos_at_fermi_per_ev_atom": 0.7769, "mass_density_g_cm3": 16.22, "energy_ev_per_fu": -59.81, "magnetic_moment_mub_per_fu": 0.000, "ef_mev_per_atom": 534, "sg": "F-43m (216)", "cell": [[0.0000, 3.6506, 3.6506], [3.6506, 0.0000, 3.6506], [3.6506, 3.6506, 0.0000]], "species": ["Re", "Re", "Re", "Re", "Tc", "Ag"], "fractional_positions": [[0.3757, 0.3757, 0.3757], [0.3757, 0.3757, 0.8729], [0.3757, 0.8729, 0.3757], [0.8729, 0.3757, 0.3757], [0.0000, 0.0000, 0.0000], [0.7500, 0.7500, 0.7500]]}

---

No. 4
{"formula": "ReTc2Ag", "functional": "GGA-PBE", "state": "relaxed", "dos_at_fermi_per_ev_atom": 1.1399, "e_above_lowest_polymorph_mev_per_atom": 282, "mass_density_g_cm3": 13.41, "energy_ev_per_fu": -33.98, "magnetic_moment_mub_per_fu": 0.000, "ef_mev_per_atom": 512, "sg": "I-4m2 (119)", "cell": [[-1.9565, 1.9565, 3.9622], [1.9565, -1.9565, 3.9622], [1.9565, 1.9565, -3.9622]], "species": ["Re", "Tc", "Tc", "Ag"], "fractional_positions": [[0.0000, 0.0000, 0.0000], [0.2500, 0.7500, 0.5000], [0.5000, 0.5000, 0.0000], [0.7500, 0.2500, 0.5000]]}

---

No. 5
{"formula": "ReTc2Ag", "functional": "GGA-PBE", "state": "relaxed", "dos_at_fermi_per_ev_atom": 0.7605, "e_above_lowest_polymorph_mev_per_atom": 24, "mass_density_g_cm3": 13.19, "energy_ev_per_fu": -35.01, "magnetic_moment_mub_per_fu": 0.000, "ef_mev_per_atom": 254, "sg": "R3m (160)", "cell": [[1.3794, 0.7964, 9.3606], [-1.3794, 0.7964, 9.3606], [0.0000, -1.5928, 9.3606]], "species": ["Re", "Tc", "Tc", "Ag"], "fractional_positions": [[0.0000, 0.0000, 0.0000], [0.4892, 0.4892, 0.4892], [0.7452, 0.7452, 0.7452], [0.2443, 0.2443, 0.2443]]}

---

No. 6
{"formula": "ReTcAg2", "functional": "GGA-PBE", "state": "relaxed", "dos_at_fermi_per_ev_atom": 0.5927, "e_above_lowest_polymorph_mev_per_atom": 476, "mass_density_g_cm3": 12.96, "energy_ev_per_fu": -25.79, "magnetic_moment_mub_per_fu": 0.001, "ef_mev_per_atom": 682, "sg": "P4/mmm (123)", "cell": [[3.7408, 0.0000, 0.0000], [0.0000, 3.7408, 0.0000], [0.0000, 0.0000, 4.5782]], "species": ["Re", "Tc", "Ag", "Ag"], "fractional_positions": [[0.0000, 0.0000, 0.0000], [0.5000, 0.5000, 0.0000], [0.0000, 0.5000, 0.5000], [0.5000, 0.0000, 0.5000]]}

---

No. 7
{"formula": "ReTc2Ag", "functional": "GGA-PBE", "state": "relaxed", "dos_at_fermi_per_ev_atom": 0.7644, "e_above_lowest_polymorph_mev_per_atom": 178, "mass_density_g_cm3": 13.23, "energy_ev_per_fu": -34.40, "magnetic_moment_mub_per_fu": 0.000, "ef_mev_per_atom": 408, "sg": "Cm (8)", "cell": [[4.6848, -1.3918, 0.0000], [4.6848, 1.3918, 0.0000], [-0.9263, 0.0000, 4.7160]], "species": ["Re", "Tc", "Tc", "Ag"], "fractional_positions": [[0.0000, 0.0000, 0.0000], [0.2585, 0.2585, 0.7764], [0.5208, 0.5208, 0.5491], [0.7600, 0.7600, 0.2770]]}

---

No. 8
{"formula": "ReTcAg2", "functional": "GGA-PBE", "state": "relaxed", "dos_at_fermi_per_ev_atom": 0.6482, "e_above_lowest_polymorph_mev_per_atom": 125, "mass_density_g_cm3": 12.39, "energy_ev_per_fu": -27.19, "magnetic_moment_mub_per_fu": 0.000, "ef_mev_per_atom": 331, "sg": "P4mm (99)", "cell": [[2.9188, 0.0000, 0.0000], [0.0000, 2.9188, 0.0000], [0.0000, 0.0000, 7.8630]], "species": ["Re", "Tc", "Ag", "Ag"], "fractional_positions": [[0.0000, 0.0000, 0.0000], [0.5000, 0.5000, 0.1879], [0.0000, 0.0000, 0.4630], [0.5000, 0.5000, 0.7252]]}

---

No. 9
{"formula": "ReTc3Ag", "functional": "GGA-PBE", "state": "relaxed", "dos_at_fermi_per_ev_atom": 0.9075, "e_above_lowest_polymorph_mev_per_atom": 0, "mass_density_g_cm3": 9.36, "energy_ev_per_fu": -38.00, "magnetic_moment_mub_per_fu": 2.628, "ef_mev_per_atom": 1680, "sg": "Pm-3m (221)", "cell": [[4.7069, 0.0000, 0.0000], [0.0000, 4.7069, 0.0000], [0.0000, 0.0000, 4.7069]], "species": ["Re", "Tc", "Tc", "Tc", "Ag"], "fractional_positions": [[0.0000, 0.0000, 0.0000], [0.0000, 0.0000, 0.5000], [0.0000, 0.5000, 0.0000], [0.5000, 0.0000, 0.0000], [0.5000, 0.5000, 0.5000]]}

---

No. 10
{"formula": "ReTc2Ag", "functional": "GGA-PBE", "state": "relaxed", "dos_at_fermi_per_ev_atom": 1.0696, "e_above_lowest_polymorph_mev_per_atom": 309, "mass_density_g_cm3": 13.26, "energy_ev_per_fu": -33.88, "magnetic_moment_mub_per_fu": 0.000, "ef_mev_per_atom": 539, "sg": "Fm-3m (225)", "cell": [[0.0000, 3.1308, 3.1308], [3.1308, 0.0000, 3.1308], [3.1308, 3.1308, 0.0000]], "species": ["Re", "Tc", "Tc", "Ag"], "fractional_positions": [[0.0000, 0.0000, 0.0000], [0.2500, 0.2500, 0.2500], [0.7500, 0.7500, 0.7500], [0.5000, 0.5000, 0.5000]]}

---

No. 11
{"formula": "ReTcAg2", "functional": "GGA-PBE", "state": "relaxed", "dos_at_fermi_per_ev_atom": 0.7047, "e_above_lowest_polymorph_mev_per_atom": 455, "mass_density_g_cm3": 12.78, "energy_ev_per_fu": -25.87, "magnetic_moment_mub_per_fu": 0.000, "ef_mev_per_atom": 662, "sg": "Cmmm (65)", "cell": [[1.4119, -2.3046, 0.0000], [1.4119, 2.3046, 0.0000], [0.0000, 0.0000, 9.9823]], "species": ["Re", "Tc", "Ag", "Ag"], "fractional_positions": [[0.0000, 0.0000, 0.0000], [0.0000, 0.0000, 0.5000], [0.5000, 0.5000, 0.2510], [0.5000, 0.5000, 0.7490]]}

---

No. 12
{"formula": "ReTcAg2", "functional": "GGA-PBE", "state": "relaxed", "dos_at_fermi_per_ev_atom": 1.6036, "e_above_lowest_polymorph_mev_per_atom": 443, "mass_density_g_cm3": 12.95, "energy_ev_per_fu": -25.92, "magnetic_moment_mub_per_fu": 0.847, "ef_mev_per_atom": 650, "sg": "R-3m (166)", "cell": [[1.3822, 0.7980, 9.6875], [-1.3822, 0.7980, 9.6875], [0.0000, -1.5961, 9.6875]], "species": ["Re", "Tc", "Ag", "Ag"], "fractional_positions": [[0.0000, 0.0000, 0.0000], [0.5000, 0.5000, 0.5000], [0.2498, 0.2498, 0.2498], [0.7502, 0.7502, 0.7502]]}

---

No. 13
{"formula": "ReTc2Ag", "functional": "GGA-PBE", "state": "relaxed", "dos_at_fermi_per_ev_atom": 0.7842, "e_above_lowest_polymorph_mev_per_atom": 153, "mass_density_g_cm3": 12.98, "energy_ev_per_fu": -34.50, "magnetic_moment_mub_per_fu": 0.000, "ef_mev_per_atom": 383, "sg": "Cmmm (65)", "cell": [[1.4483, -2.2689, 0.0000], [1.4483, 2.2689, 0.0000], [0.0000, 0.0000, 9.5377]], "species": ["Re", "Tc", "Tc", "Ag"], "fractional_positions": [[0.0000, 0.0000, 0.0000], [0.5000, 0.5000, 0.2343], [0.5000, 0.5000, 0.7657], [0.0000, 0.0000, 0.5000]]}

---

No. 14
{"formula": "ReTcAg2", "functional": "GGA-PBE", "state": "relaxed", "dos_at_fermi_per_ev_atom": 0.4648, "e_above_lowest_polymorph_mev_per_atom": 428, "mass_density_g_cm3": 12.52, "energy_ev_per_fu": -25.98, "magnetic_moment_mub_per_fu": 0.000, "ef_mev_per_atom": 635, "sg": "Imm2 (44)", "cell": [[-1.7993, 2.2456, 4.1013], [1.7993, -2.2456, 4.1013], [1.7993, 2.2456, -4.1013]], "species": ["Re", "Tc", "Ag", "Ag"], "fractional_positions": [[0.0000, 0.0000, 0.0000], [0.1976, 0.6976, 0.5000], [0.4685, 0.4685, 0.0000], [0.7294, 0.2294, 0.5000]]}

---

No. 15
{"formula": "ReTc2Ag", "functional": "GGA-PBE", "state": "relaxed", "dos_at_fermi_per_ev_atom": 0.7216, "e_above_lowest_polymorph_mev_per_atom": 665, "mass_density_g_cm3": 11.62, "energy_ev_per_fu": -32.45, "magnetic_moment_mub_per_fu": 0.000, "ef_mev_per_atom": 895, "sg": "I-42d (122)", "cell": [[-3.6006, 3.6006, 2.7006], [3.6006, -3.6006, 2.7006], [3.6006, 3.6006, -2.7006]], "species": ["Re", "Re", "Tc", "Tc", "Tc", "Tc", "Ag", "Ag"], "fractional_positions": [[0.0000, 0.0000, 0.0000], [0.7500, 0.2500, 0.5000], [0.0787, 0.6250, 0.9537], [0.3750, 0.3287, 0.4537], [0.6713, 0.1250, 0.0463], [0.8750, 0.9213, 0.5463], [0.2500, 0.7500, 0.5000], [0.5000, 0.5000, 0.0000]]}

---

No. 16
{"formula": "TiReTcAg2", "functional": "GGA-PBE", "state": "relaxed", "dos_at_fermi_per_ev_atom": 1.0480, "mass_density_g_cm3": 7.93, "energy_ev_per_fu": -27.84, "magnetic_moment_mub_per_fu": 3.702, "ef_mev_per_atom": 1714, "sg": "P4/mmm (123)", "cell": [[5.0894, 0.0000, 0.0000], [0.0000, 5.0894, 0.0000], [0.0000, 0.0000, 4.4305]], "species": ["Ti", "Re", "Tc", "Ag", "Ag"], "fractional_positions": [[0.0000, 0.0000, 0.0000], [0.0000, 0.0000, 0.5000], [0.5000, 0.5000, 0.0000], [0.0000, 0.5000, 0.5000], [0.5000, 0.0000, 0.5000]]}

---

No. 17
{"formula": "YReTc2Ag", "functional": "GGA-PBE", "state": "relaxed", "dos_at_fermi_per_ev_atom": 1.7739, "e_above_lowest_polymorph_mev_per_atom": 0, "mass_density_g_cm3": 8.50, "energy_ev_per_fu": -32.37, "magnetic_moment_mub_per_fu": 1.260, "ef_mev_per_atom": 2024, "sg": "P4/mmm (123)", "cell": [[4.8256, 0.0000, 0.0000], [0.0000, 4.8256, 0.0000], [0.0000, 0.0000, 4.8577]], "species": ["Y", "Re", "Tc", "Tc", "Ag"], "fractional_positions": [[0.0000, 0.0000, 0.0000], [0.5000, 0.5000, 0.0000], [0.0000, 0.5000, 0.5000], [0.5000, 0.0000, 0.5000], [0.5000, 0.5000, 0.5000]]}

---

No. 18
{"formula": "YReTc2Ag", "functional": "GGA-PBE", "state": "relaxed", "dos_at_fermi_per_ev_atom": 1.7956, "e_above_lowest_polymorph_mev_per_atom": 297, "mass_density_g_cm3": 8.29, "energy_ev_per_fu": -30.89, "magnetic_moment_mub_per_fu": 5.591, "ef_mev_per_atom": 2321, "sg": "P4/mmm (123)", "cell": [[4.8084, 0.0000, 0.0000], [0.0000, 4.8084, 0.0000], [0.0000, 0.0000, 5.0155]], "species": ["Y", "Re", "Tc", "Tc", "Ag"], "fractional_positions": [[0.0000, 0.0000, 0.0000], [0.5000, 0.5000, 0.0000], [0.0000, 0.5000, 0.5000], [0.5000, 0.0000, 0.5000], [0.0000, 0.0000, 0.5000]]}

---

No. 19
{"formula": "Re2AgTe", "functional": "GGA-PBE", "state": "relaxed", "dos_at_fermi_per_ev_atom": 1.0961, "mass_density_g_cm3": 14.60, "energy_ev_per_fu": -26.32, "magnetic_moment_mub_per_fu": 0.004, "raw_formation_energy_ev_per_atom": 1.14, "sg": "I4/mmm (139)", "cell": [[-2.0414, 2.0414, 4.1483], [2.0414, -2.0414, 4.1483], [2.0414, 2.0414, -4.1483]], "species": ["Re", "Re", "Ag", "Te"], "fractional_positions": [[0.2500, 0.7500, 0.5000], [0.7500, 0.2500, 0.5000], [0.0000, 0.0000, 0.0000], [0.5000, 0.5000, 0.0000]]}

---

No. 20
{"formula": "ReAgTe", "functional": "GGA-PBE", "state": "relaxed", "dos_at_fermi_per_ev_atom": 1.2132, "e_above_lowest_polymorph_mev_per_atom": 0, "mass_density_g_cm3": 11.21, "energy_ev_per_fu": -16.48, "magnetic_moment_mub_per_fu": 0.000, "raw_formation_energy_ev_per_atom": 0.65, "sg": "P3m1 (156)", "cell": [[3.1952, 0.0000, 0.0000], [-1.5976, 2.7671, 0.0000], [0.0000, 0.0000, 7.0667]], "species": ["Re", "Ag", "Te"], "fractional_positions": [[0.0000, 0.0000, 0.0000], [0.3333, 0.6667, 0.6840], [0.6667, 0.3333, 0.2650]]}